No. 1
This record from Alexandria via LeMat-Bulk describes a relaxed La4Pr7Sn crystal. The functional is GGA-PBE.

- crystal system = triclinic
- calculated formation energy (eV per atom) = -0.068

CIF file:
```
data_La4Pr7Sn
_chemical_formula_sum 'La4 Pr7 Sn1'
_space_group_name_H-M_alt 'P -1'
_space_group_IT_number 2
_space_group_name_Hall '-P 1'
_cell_length_a 6.289
_cell_length_b 6.979
_cell_length_c 10.290
_cell_angle_alpha 109.67
_cell_angle_beta 90.69
_cell_angle_gamma 90.00
loop_
_atom_site_label
_atom_site_type_symbol
_atom_site_fract_x
_atom_site_fract_y
_atom_site_fract_z
La1 La 0.230 0.357 0.262
La2 La 0.233 0.902 0.260
Pr1 Pr 0.248 0.783 0.563
Pr2 Pr 0.254 0.328 0.654
Pr3 Pr 0.255 0.955 0.908
Pr4 Pr 0.500 0.500 0.000
Sn1 Sn 0.000 0.500 0.000
```


No. 2
This record from Alexandria via LeMat-Bulk describes a relaxed La4Pr5Sn2 crystal. The functional is GGA-PBE.

- crystal system = trigonal
- calculated formation energy (eV per atom) = 0.232

CIF file:
```
data_La4Pr5Sn2
_chemical_formula_sum 'La12 Pr15 Sn6'
_space_group_name_H-M_alt 'R -3 m'
_space_group_IT_number 166
_space_group_name_Hall '-R 3 2"'
_cell_length_a 5.1635
_cell_length_b 5.1635
_cell_length_c 60.4205
_cell_angle_alpha 90.00
_cell_angle_beta 90.00
_cell_angle_gamma 120.00
loop_
_atom_site_label
_atom_site_type_symbol
_atom_site_fract_x
_atom_site_fract_y
_atom_site_fract_z
La1 La 0.0000 0.0000 0.0636
La2 La 0.0000 0.0000 0.1775
Pr1 Pr 0.0000 0.0000 0.0000
Pr2 Pr 0.0000 0.0000 0.1217
Pr3 Pr 0.0000 0.0000 0.3099
Sn1 Sn 0.0000 0.0000 0.3714
```


No. 3
This record from Alexandria via LeMat-Bulk describes a relaxed La3Pr2Sn2 crystal. The functional is GGA-PBE.

- crystal system = monoclinic
- calculated formation energy (eV per atom) = -0.476

CIF file:
```
data_La3Pr2Sn2
_chemical_formula_sum 'La6 Pr4 Sn4'
_space_group_name_H-M_alt 'C 1 2/m 1'
_space_group_IT_number 12
_space_group_name_Hall '-C 2y'
_cell_length_a 12.028
_cell_length_b 4.716
_cell_length_c 8.845
_cell_angle_alpha 90.00
_cell_angle_beta 106.83
_cell_angle_gamma 90.00
loop_
_atom_site_label
_atom_site_type_symbol
_atom_site_fract_x
_atom_site_fract_y
_atom_site_fract_z
La1 La 0.000 0.000 0.000
La2 La 0.132 0.000 0.446
Pr1 Pr 0.136 0.500 0.792
Sn1 Sn 0.173 0.500 0.193
```


No. 4
This record from Alexandria via LeMat-Bulk describes a relaxed La7PrSn4 crystal. The functional is GGA-PBE.

- crystal system = monoclinic
- calculated formation energy (eV per atom) = -0.367

CIF file:
```
data_La7PrSn4
_chemical_formula_sum 'La14 Pr2 Sn8'
_space_group_name_H-M_alt 'C 1 2/m 1'
_space_group_IT_number 12
_space_group_name_Hall '-C 2y'
_cell_length_a 14.376
_cell_length_b 6.008
_cell_length_c 11.522
_cell_angle_alpha 90.00
_cell_angle_beta 124.96
_cell_angle_gamma 90.00
loop_
_atom_site_label
_atom_site_type_symbol
_atom_site_fract_x
_atom_site_fract_y
_atom_site_fract_z
La1 La 0.000 0.000 0.000
La2 La 0.054 0.500 0.364
La3 La 0.180 0.000 0.602
La4 La 0.206 0.500 0.888
Pr1 Pr 0.000 0.500 0.000
Sn1 Sn 0.066 0.000 0.767
Sn2 Sn 0.200 0.000 0.328
```


No. 5
This record from Alexandria via LeMat-Bulk describes a relaxed La2PrZn2Sn2 crystal. The functional is GGA-PBE.

- crystal system = trigonal
- calculated formation energy (eV per atom) = -0.426

CIF file:
```
data_La2PrZn2Sn2
_chemical_formula_sum 'La6 Pr3 Zn6 Sn6'
_space_group_name_H-M_alt 'R -3 m'
_space_group_IT_number 166
_space_group_name_Hall '-R 3 2"'
_cell_length_a 4.6780
_cell_length_b 4.6780
_cell_length_c 29.6605
_cell_angle_alpha 90.00
_cell_angle_beta 90.00
_cell_angle_gamma 120.00
loop_
_atom_site_label
_atom_site_type_symbol
_atom_site_fract_x
_atom_site_fract_y
_atom_site_fract_z
La1 La 0.0000 0.0000 0.1344
Pr1 Pr 0.0000 0.0000 0.0000
Zn1 Zn 0.0000 0.0000 0.4150
Sn1 Sn 0.0000 0.0000 0.2674
```


No. 6
This record from Alexandria via LeMat-Bulk describes a relaxed SrLa6Pr12 crystal. The functional is GGA-PBE.

- crystal system = trigonal
- calculated formation energy (eV per atom) = 0.262

CIF file:
```
data_SrLa6Pr12
_chemical_formula_sum 'Sr3 La18 Pr36'
_space_group_name_H-M_alt 'R -3 m'
_space_group_IT_number 166
_space_group_name_Hall '-R 3 2"'
_cell_length_a 16.7683
_cell_length_b 16.7683
_cell_length_c 8.9193
_cell_angle_alpha 90.00
_cell_angle_beta 90.00
_cell_angle_gamma 120.00
loop_
_atom_site_label
_atom_site_type_symbol
_atom_site_fract_x
_atom_site_fract_y
_atom_site_fract_z
Sr1 Sr 0.0000 0.0000 0.0000
La1 La 0.1027 0.5514 0.5351
Pr1 Pr 0.0000 0.2922 0.5000
Pr2 Pr 0.0798 0.1596 0.3382
```


No. 7
This record from Alexandria via LeMat-Bulk describes a relaxed Sr2La4Pr5 crystal. The functional is GGA-PBE.

- crystal system = triclinic
- calculated formation energy (eV per atom) = 0.110

CIF file:
```
data_Sr2La4Pr5
_chemical_formula_sum 'Sr2 La4 Pr5'
_space_group_name_H-M_alt 'P -1'
_space_group_IT_number 2
_space_group_name_Hall '-P 1'
_cell_length_a 6.036
_cell_length_b 9.301
_cell_length_c 9.440
_cell_angle_alpha 118.81
_cell_angle_beta 90.21
_cell_angle_gamma 108.85
loop_
_atom_site_label
_atom_site_type_symbol
_atom_site_fract_x
_atom_site_fract_y
_atom_site_fract_z
Sr1 Sr 0.052 0.101 0.347
La1 La 0.244 0.495 0.787
La2 La 0.394 0.786 0.240
Pr1 Pr 0.154 0.301 0.059
Pr2 Pr 0.308 0.618 0.498
Pr3 Pr 0.500 0.000 0.000
```


No. 8
This record from Alexandria via LeMat-Bulk describes a relaxed SrLa6Pr2 crystal. The functional is GGA-PBE.

- crystal system = orthorhombic
- calculated formation energy (eV per atom) = 0.247

CIF file:
```
data_SrLa6Pr2
_chemical_formula_sum 'Sr2 La12 Pr4'
_space_group_name_H-M_alt 'I m m m'
_space_group_IT_number 71
_space_group_name_Hall '-I 2 2'
_cell_length_a 6.149
_cell_length_b 7.336
_cell_length_c 15.392
_cell_angle_alpha 90.00
_cell_angle_beta 90.00
_cell_angle_gamma 90.00
loop_
_atom_site_label
_atom_site_type_symbol
_atom_site_fract_x
_atom_site_fract_y
_atom_site_fract_z
Sr1 Sr 0.000 0.000 0.000
La1 La 0.000 0.209 0.500
La2 La 0.000 0.227 0.283
Pr1 Pr 0.000 0.500 0.104
```